# 1
First-principles (PBEsol) data for Zr9Ni2P4 after structural relaxation, as listed in the Alexandria database. Values from VASP.

Results
* total magnetization: 0.001 Bohr magnetons per cell
* formation energy from the elements: -1057.6 meV/atom
* SG: P4/mbm (127)
* raw total energy: -266.3 eV for the cell shown

```
&SYSTEM
  ibrav = 0, nat = 30, ntyp = 3
/
ATOMIC_SPECIES
P 30.97 P.upf
Zr 91.22 Zr.upf
Ni 58.69 Ni.upf
ATOMIC_POSITIONS angstrom
P 0.0000 8.6446 5.2939
P 0.0000 0.6698 9.2464
P 0.0000 11.2576 2.6809
P 0.0000 5.2939 3.2828
P 0.0000 9.2464 11.2576
P 0.0000 2.6809 0.6698
P 0.0000 6.6334 8.6446
P 0.0000 3.2828 6.6334
Zr 1.8247 1.4240 7.3876
Zr 1.8247 10.6999 9.7737
Zr 1.8247 1.2274 2.1536
Zr 0.0000 5.9637 5.9637
Zr 0.0000 7.1153 1.1517
Zr 1.8247 10.5034 4.5397
Zr 1.8247 4.7363 8.1173
Zr 1.8247 9.7737 1.2274
Zr 1.8247 3.8101 4.7363
Zr 0.0000 1.1517 4.8120
Zr 1.8247 4.5397 1.4240
Zr 1.8247 7.1911 3.8101
Zr 0.0000 0.0000 0.0000
Zr 1.8247 7.3876 10.5034
Zr 0.0000 4.8120 10.7757
Zr 1.8247 2.1536 10.6999
Zr 0.0000 10.7757 7.1153
Zr 1.8247 8.1173 7.1911
Ni 0.0000 2.9313 8.8950
Ni 0.0000 3.0324 2.9313
Ni 0.0000 8.9960 3.0324
Ni 0.0000 8.8950 8.9960
CELL_PARAMETERS angstrom
3.6494 0.0000 0.0000
0.0000 11.9273 0.0000
0.0000 0.0000 11.9273
```



# 2
First-principles (PBEsol) data for ZrNiP after structural relaxation, as listed in the Alexandria database. Values from VASP.

Results
* total magnetization: 0.000 Bohr magnetons per cell
* formation energy from the elements: -824.9 meV/atom
* SG: F-43m (216)
* raw total energy: -23.5 eV for the cell shown

```
&SYSTEM
  ibrav = 0, nat = 3, ntyp = 3
/
ATOMIC_SPECIES
Zr 91.22 Zr.upf
Ni 58.69 Ni.upf
P 30.97 P.upf
ATOMIC_POSITIONS angstrom
Zr 4.0196 2.3207 1.6410
Ni 2.0098 1.1604 0.8205
P 0.0000 0.0000 0.0000
CELL_PARAMETERS angstrom
4.0196 0.0000 0.0000
2.0098 3.4811 0.0000
2.0098 1.1604 3.2820
```



# 3
First-principles (PBEsol) data for ZrNiP after structural relaxation, as listed in the Alexandria database. Values from VASP.

Results
* total magnetization: 0.000 Bohr magnetons per cell
* formation energy from the elements: -1234.6 meV/atom
* SG: P6_3/mmc (194)
* raw total energy: -49.5 eV for the cell shown

```
&SYSTEM
  ibrav = 0, nat = 6, ntyp = 3
/
ATOMIC_SPECIES
P 30.97 P.upf
Ni 58.69 Ni.upf
Zr 91.22 Zr.upf
ATOMIC_POSITIONS angstrom
P 0.0000 2.1481 5.4074
P 1.8603 1.0741 1.8025
Ni 0.0000 2.1481 1.8025
Ni 1.8603 1.0741 5.4074
Zr 0.0000 0.0000 0.0000
Zr 0.0000 0.0000 3.6049
CELL_PARAMETERS angstrom
3.7207 0.0000 0.0000
-1.8603 3.2222 0.0000
0.0000 0.0000 7.2099
```



Number 1: N(E_F) 16.08 states/eV/f.u.. Number 2: N(E_F) 1.47 states/eV/f.u.. Number 3: N(E_F) 1.94 states/eV/f.u..